No. 1
Here is MgBe2W after structural relaxation from the Alexandria database. Energies are from PBE-GGA.

Cell lengths 5.964, 5.964, 5.964 Å; angles 90.00, 90.00, 90.00 degrees
Fractional coordinates of all 16 atoms:
Mg 0.000 0.000 0.000
Mg 0.000 0.500 0.500
Mg 0.500 0.000 0.500
Mg 0.500 0.500 0.000
Be 0.000 0.000 0.500
Be 0.000 0.500 0.000
Be 0.250 0.250 0.750
Be 0.250 0.750 0.250
Be 0.500 0.000 0.000
Be 0.500 0.500 0.500
Be 0.750 0.250 0.250
Be 0.750 0.750 0.750
W 0.250 0.250 0.250
W 0.250 0.750 0.750
W 0.750 0.250 0.750
W 0.750 0.750 0.250

Results
Space group   F-43m, No. 216
N(E_F)   0.596 states/eV/atom
Total magnetic moment   5.4 μB/cell
Energy relative to the elements   77 kJ/mol of atoms
E_tot   -4.70 eV/atom

No. 2
Here is CrRh2Br after structural relaxation from the Alexandria database. Energies are from PBE-GGA.

Cell lengths 2.922, 4.718, 9.131 Å; angles 90.00, 90.00, 90.00 degrees
Fractional coordinates of all 8 atoms:
Cr 0.000 0.000 0.000
Cr 0.500 0.500 0.500
Rh 0.000 0.500 0.259
Rh 0.000 0.500 0.741
Rh 0.500 0.000 0.241
Rh 0.500 0.000 0.759
Br 0.000 0.000 0.500
Br 0.500 0.500 0.000

Results
Space group   Immm, No. 71
N(E_F)   1.181 states/eV/atom
Total magnetic moment   5.5 μB/cell
ΔE to the lowest computed polymorph   207 meV per atom
E_tot   -6.02 eV/atom

No. 3
Here is AcPrDy2 after structural relaxation from the Alexandria database. Energies are from PBE-GGA.

Cell lengths 3.720, 3.720, 35.850 Å; angles 90.00, 90.00, 120.00 degrees
Fractional coordinates of all 12 atoms:
Ac 0.000 0.000 0.000
Ac 0.333 0.667 0.667
Ac 0.667 0.333 0.333
Pr 0.000 0.000 0.166
Pr 0.333 0.667 0.833
Pr 0.667 0.333 0.499
Dy 0.000 0.000 0.580
Dy 0.000 0.000 0.752
Dy 0.333 0.667 0.247
Dy 0.333 0.667 0.419
Dy 0.667 0.333 0.086
Dy 0.667 0.333 0.914

Results
Space group   R3m, No. 160
N(E_F)   1.425 states/eV/atom
Total magnetic moment   0.0 μB/cell
Energy relative to the elements   6 kJ/mol of atoms
ΔE to the lowest computed polymorph   18 meV per atom
E_tot   -4.46 eV/atom

No. 4
Here is Pm3Pu3ScS8 after structural relaxation from the Alexandria database. Energies are from PBE-GGA.

Cell lengths 7.953, 7.953, 7.953 Å; angles 59.74, 59.74, 59.74 degrees
Fractional coordinates of all 15 atoms:
Pm 0.000 0.500 0.500
Pm 0.500 0.000 0.500
Pm 0.500 0.500 0.000
Pu 0.000 0.000 0.500
Pu 0.000 0.500 0.000
Pu 0.500 0.000 0.000
Sc 0.500 0.500 0.500
S 0.247 0.247 0.247
S 0.259 0.738 0.738
S 0.262 0.262 0.741
S 0.262 0.741 0.262
S 0.738 0.259 0.738
S 0.738 0.738 0.259
S 0.741 0.262 0.262
S 0.753 0.753 0.753

Results
Space group   R-3m, No. 166
N(E_F)   1.922 states/eV/atom
Total magnetic moment   16.9 μB/cell
E_tot   -8.36 eV/atom

No. 5
Here is Ho5CdGa4 after structural relaxation from the Alexandria database. Energies are from PBE-GGA.

Cell lengths 3.564, 3.564, 18.206 Å; angles 90.00, 90.00, 90.00 degrees
Fractional coordinates of all 10 atoms:
Ho 0.000 0.000 0.000
Ho 0.000 0.000 0.195
Ho 0.000 0.000 0.388
Ho 0.000 0.000 0.612
Ho 0.000 0.000 0.805
Cd 0.500 0.500 0.500
Ga 0.500 0.500 0.097
Ga 0.500 0.500 0.294
Ga 0.500 0.500 0.706
Ga 0.500 0.500 0.903

Results
Space group   P4/mmm, No. 123
N(E_F)   0.465 states/eV/atom
Total magnetic moment   0.0 μB/cell
Energy relative to the elements   -51 kJ/mol of atoms
E_tot   -4.12 eV/atom

No. 6
Here is Si2IrW after structural relaxation from the Alexandria database. Energies are from PBE-GGA.

Cell lengths 9.020, 2.877, 4.491 Å; angles 90.00, 107.07, 90.00 degrees
Fractional coordinates of all 8 atoms:
Si 0.000 0.000 0.000
Si 0.247 0.500 0.359
Si 0.500 0.500 0.000
Si 0.747 0.000 0.359
Ir 0.255 0.000 0.883
Ir 0.755 0.500 0.883
W 0.496 0.000 0.487
W 0.996 0.500 0.487

Results
Space group   Cm, No. 8
N(E_F)   0.391 states/eV/atom
Total magnetic moment   0.0 μB/cell
ΔE to the lowest computed polymorph   0 meV per atom
E_tot   -8.47 eV/atom

No. 7
Here is Ba2TeBr after structural relaxation from the Alexandria database. Energies are from PBE-GGA.

Cell lengths 4.814, 4.814, 24.936 Å; angles 90.00, 90.00, 120.00 degrees
Fractional coordinates of all 12 atoms:
Ba 0.000 0.000 0.000
Ba 0.000 0.000 0.171
Ba 0.333 0.667 0.667
Ba 0.333 0.667 0.838
Ba 0.667 0.333 0.333
Ba 0.667 0.333 0.505
Te 0.000 0.000 0.417
Te 0.333 0.667 0.084
Te 0.667 0.333 0.750
Br 0.000 0.000 0.590
Br 0.333 0.667 0.257
Br 0.667 0.333 0.923

Results
Space group   R3m, No. 160
N(E_F)   0.506 states/eV/atom
Total magnetic moment   2.4 μB/cell
ΔE to the lowest computed polymorph   69 meV per atom
E_tot   -3.79 eV/atom

No. 8
Here is SbOs2W after structural relaxation from the Alexandria database. Energies are from PBE-GGA.

Cell lengths 2.876, 4.123, 5.793 Å; angles 90.00, 104.28, 90.00 degrees
Fractional coordinates of all 4 atoms:
Sb 0.000 0.000 0.000
Os 0.243 0.000 0.489
Os 0.848 0.500 0.700
W 0.623 0.500 0.249

Results
Space group   Pm, No. 6
N(E_F)   1.086 states/eV/atom
Total magnetic moment   0.0 μB/cell
E_tot   -9.34 eV/atom

No. 9
Here is K2BaPu3O12 after structural relaxation from the Alexandria database. Energies are from PBE-GGA.

Cell lengths 7.433, 7.433, 7.433 Å; angles 65.48, 65.48, 65.48 degrees
Fractional coordinates of all 18 atoms:
K 0.116 0.116 0.116
K 0.884 0.884 0.884
Ba 0.500 0.500 0.500
Pu 0.000 0.500 0.500
Pu 0.500 0.000 0.500
Pu 0.500 0.500 0.000
O 0.050 0.631 0.631
O 0.233 0.233 0.607
O 0.233 0.607 0.233
O 0.369 0.369 0.950
O 0.369 0.950 0.369
O 0.393 0.767 0.767
O 0.607 0.233 0.233
O 0.631 0.050 0.631
O 0.631 0.631 0.050
O 0.767 0.393 0.767
O 0.767 0.767 0.393
O 0.950 0.369 0.369

Results
Space group   R-3m, No. 166
N(E_F)   0.243 states/eV/atom
Total magnetic moment   4.0 μB/cell
E_tot   -8.37 eV/atom

No. 10
Here is Ti5VP3 after structural relaxation from the Alexandria database. Energies are from PBE-GGA.

Cell lengths 6.387, 6.387, 8.305 Å; angles 103.98, 103.98, 73.53 degrees
Fractional coordinates of all 18 atoms:
Ti 0.014 0.014 0.325
Ti 0.117 0.510 0.364
Ti 0.195 0.805 0.000
Ti 0.247 0.247 0.908
Ti 0.490 0.883 0.636
Ti 0.510 0.117 0.364
Ti 0.753 0.753 0.092
Ti 0.805 0.195 0.000
Ti 0.883 0.490 0.636
Ti 0.986 0.986 0.675
V 0.428 0.428 0.722
V 0.572 0.572 0.278
P 0.175 0.175 0.158
P 0.198 0.198 0.584
P 0.500 0.500 0.000
P 0.500 0.500 0.500
P 0.802 0.802 0.416
P 0.825 0.825 0.842

Results
Space group   C2/m, No. 12
N(E_F)   0.825 states/eV/atom
Total magnetic moment   0.0 μB/cell
Energy relative to the elements   -54 kJ/mol of atoms
E_tot   -7.76 eV/atom

No. 11
Here is LaMnH2S after structural relaxation from the Alexandria database. Energies are from PBE-GGA.

Cell lengths 3.962, 3.962, 4.634 Å; angles 90.00, 90.00, 90.00 degrees
Fractional coordinates of all 5 atoms:
La 0.000 0.000 0.000
Mn 0.500 0.500 0.500
H 0.000 0.500 0.500
H 0.500 0.000 0.500
S 0.500 0.500 0.000

Results
Space group   P4/mmm, No. 123
N(E_F)   0.619 states/eV/atom
Total magnetic moment   3.5 μB/cell
E_tot   -5.64 eV/atom

No. 12
Here is TbPr3Tm6Th2 after structural relaxation from the Alexandria database. Energies are from PBE-GGA.

Cell lengths 6.188, 6.188, 11.713 Å; angles 95.07, 95.07, 119.98 degrees
Fractional coordinates of all 12 atoms:
Tb 0.000 0.000 0.000
Pr 0.166 0.834 0.500
Pr 0.500 0.500 0.500
Pr 0.834 0.166 0.500
Tm 0.081 0.419 0.244
Tm 0.256 0.256 0.755
Tm 0.419 0.081 0.244
Tm 0.581 0.919 0.756
Tm 0.744 0.744 0.245
Tm 0.919 0.581 0.756
Th 0.333 0.667 0.000
Th 0.667 0.333 0.000

Results
Space group   C2/m, No. 12
N(E_F)   1.275 states/eV/atom
Total magnetic moment   0.0 μB/cell
Energy relative to the elements   2 kJ/mol of atoms
E_tot   -5.03 eV/atom